Entry from Alexandria via LeMat-Bulk: an optimized crystal structure of Ce2Pt15Au2 (PBE).

a = 7.017 Å, b = 7.017 Å, c = 7.017 Å
α = 83.71°, β = 83.71°, γ = 83.71°
Site moments in Bohr magnetons follow the coordinates.
Fractional positions:
Pt (0.000, 0.500, 0.000)  -0.01
Pt (0.344, 0.834, 0.344)  -0.02
Pt (0.682, 0.318, 0.000)  -0.02
Pt (0.000, 0.682, 0.318)  -0.02
Pt (0.166, 0.656, 0.656)  -0.02
Pt (0.000, 0.318, 0.682)  -0.02
Pt (0.682, 0.000, 0.318)  -0.02
Pt (0.500, 0.000, 0.000)  -0.01
Pt (0.318, 0.682, 0.000)  -0.02
Pt (0.834, 0.344, 0.344)  -0.02
Pt (0.318, 0.000, 0.682)  -0.02
Pt (0.656, 0.656, 0.166)  -0.02
Pt (0.656, 0.166, 0.656)  -0.02
Pt (0.344, 0.344, 0.834)  -0.02
Pt (0.000, 0.000, 0.500)  -0.01
Ce (0.344, 0.344, 0.344)  0.39
Ce (0.656, 0.656, 0.656)  0.39
Au (0.896, 0.896, 0.896)  0.00
Au (0.104, 0.104, 0.104)  0.00

Results
The crystal system is trigonal. For the formation enthalpy at 0 K, the calculation gives -8.1 eV per formula unit. The space group is R-3m (166).

=====

Entry from Alexandria via LeMat-Bulk: an optimized crystal structure of Tm2GaPb (PBE).

a = 3.645 Å, b = 3.645 Å, c = 9.400 Å
α = 78.82°, β = 78.82°, γ = 60.00°
Fractional positions:
Ga (0.000, 0.000, 0.000)
Tm (0.741, 0.741, 0.778)
Tm (0.259, 0.259, 0.222)
Pb (0.500, 0.500, 0.500)

Results
The crystal system is trigonal. For the formation enthalpy at 0 K, the calculation gives -1.6 eV per formula unit. The space group is R-3m (166).

=====

Entry from Alexandria via LeMat-Bulk: an optimized crystal structure of SmTm6Al2 (PBE).

a = 4.739 Å, b = 4.739 Å, c = 14.111 Å
α = 99.67°, β = 99.67°, γ = 90.00°
Fractional positions:
Al (0.186, 0.186, 0.373)
Al (0.814, 0.814, 0.627)
Tm (0.643, 0.643, 0.791)
Tm (0.250, 0.750, 0.500)
Tm (0.357, 0.852, 0.209)
Tm (0.750, 0.250, 0.500)
Tm (0.148, 0.148, 0.791)
Tm (0.852, 0.357, 0.209)
Sm (0.500, 0.500, 0.000)

Results
The crystal system is tetragonal. For the formation enthalpy at 0 K, the calculation gives 4.7 eV per formula unit. The space group is I-42m (121). For the distance to the lowest polymorph of the same formula, the calculation gives 595 kJ/mol of formula units.

=====

Entry from Alexandria via LeMat-Bulk: an optimized crystal structure of Cs2KTlP (PBE).

a = 7.330 Å, b = 7.330 Å, c = 5.355 Å
α = 90.00°, β = 90.00°, γ = 90.00°
Fractional positions:
Cs (0.500, 0.000, 0.000)
Cs (0.000, 0.500, 0.000)
Tl (0.000, 0.000, 0.500)
K (0.500, 0.500, 0.500)
P (0.000, 0.000, 0.000)

Results
The crystal system is tetragonal. For the formation enthalpy at 0 K, the calculation gives 0.1 eV per formula unit. The space group is P4/mmm (123).

=====

Entry from Alexandria via LeMat-Bulk: an optimized crystal structure of ClO2F8 (PBE).

a = 5.475 Å, b = 6.005 Å, c = 6.005 Å
α = 54.61°, β = 97.05°, γ = 97.05°
Site moments in Bohr magnetons follow the coordinates.
Fractional positions:
Cl (0.000, 0.000, 0.000)  0.04
F (0.666, 0.633, 0.633)  0.23
F (0.162, 0.868, 0.325)  0.08
F (0.838, 0.132, 0.675)  0.08
F (0.235, 0.902, 0.902)  0.05
F (0.838, 0.675, 0.132)  0.08
F (0.162, 0.325, 0.868)  0.08
F (0.334, 0.367, 0.367)  0.23
F (0.765, 0.098, 0.098)  0.05
O (0.504, 0.716, 0.716)  0.88
O (0.496, 0.284, 0.284)  0.88

Results
The crystal system is monoclinic. The space group is C2/m (12). Its total energy is -2.593 eV/atom.

=====

Entry from Alexandria via LeMat-Bulk: an optimized crystal structure of Ca3CdIn3 (PBE).

a = 4.714 Å, b = 6.341 Å, c = 15.237 Å
α = 83.80°, β = 81.10°, γ = 68.18°
Fractional positions:
In (0.112, 0.853, 0.924)
In (0.869, 0.718, 0.545)
In (0.131, 0.282, 0.455)
In (0.888, 0.147, 0.076)
In (0.020, 0.192, 0.768)
In (0.980, 0.808, 0.232)
Ca (0.392, 0.293, 0.922)
Ca (0.469, 0.678, 0.384)
Ca (0.736, 0.755, 0.773)
Ca (0.531, 0.322, 0.616)
Ca (0.608, 0.707, 0.078)
Ca (0.264, 0.245, 0.227)
Cd (0.764, 0.084, 0.388)
Cd (0.236, 0.916, 0.612)

Results
The crystal system is monoclinic. For the formation enthalpy at 0 K, the calculation gives -2.8 eV per formula unit. The space group is C2/m (12).

=====

Entry from Alexandria via LeMat-Bulk: an optimized crystal structure of LiMgS3 (PBE).

a = 4.818 Å, b = 4.818 Å, c = 4.818 Å
α = 90.00°, β = 90.00°, γ = 90.00°
Fractional positions:
S (0.500, 0.000, 0.000)
S (0.000, 0.000, 0.500)
S (0.000, 0.500, 0.000)
Mg (0.000, 0.000, 0.000)
Li (0.500, 0.500, 0.500)

Results
The crystal system is cubic. The space group is Pm-3m (221). For the distance to the lowest polymorph of the same formula, the calculation gives 0 kJ/mol of formula units.

=====

Entry from Alexandria via LeMat-Bulk: an optimized crystal structure of UBePOs (PBE).

a = 3.949 Å, b = 3.949 Å, c = 8.263 Å
α = 90.00°, β = 90.00°, γ = 90.00°
Site moments in Bohr magnetons follow the coordinates.
Fractional positions:
Os (0.000, 0.000, 0.500)  -0.18
Os (0.500, 0.500, 0.500)  -0.18
Be (0.000, 0.500, 0.359)  0.00
Be (0.500, 0.000, 0.641)  0.00
U (0.000, 0.500, 0.777)  1.41
U (0.500, 0.000, 0.223)  1.41
P (0.500, 0.000, 0.889)  -0.07
P (0.000, 0.500, 0.111)  -0.07

Results
The crystal system is tetragonal. For the formation enthalpy at 0 K, the calculation gives -1.7 eV per formula unit. The space group is P4/nmm (129).